Below is crystalline RbZn at its relaxed geometry, with properties calculated at the GGA-PBE level.

```
RbZn
1.0
5.7384 0.0000 0.0000
0.0000 4.1057 0.0000
0.0000 0.0000 6.7745
Rb Zn
2 2
Direct
0.2500 0.0000 0.2153 Rb
0.7500 0.0000 0.7847 Rb
0.2500 0.5000 0.6362 Zn
0.7500 0.5000 0.3638 Zn
```

The calculation puts the calculated total energy at -0.0650 Ry/atom.